(1)
GdThPd: relaxed, GGA-PBE.

Cell lengths 3.6711, 3.6711, 11.7022 Å; angles 90.00, 90.00, 90.00 degrees
Last column: nearest neighbours and their distance in Å.
Space group I4mm (No. 107)
Unique sites:
Gd 0.0000 0.0000 0.0000 (multiplicity 2)  4 Pd 3.19, 5 Th 3.45-3.54
Th 0.0000 0.0000 0.2944 (multiplicity 2)  4 Pd 3.05
Pd 0.0000 0.0000 0.6584 (multiplicity 2)  4 Th 3.05, 4 Gd 3.19

Summary:
Offset from the most stable computed form: 0.000 eV per atom
ΔE_f: -457 meV per atom
M_tot: 15.018 μB/cell


(2)
Y3Al8Ag3: relaxed, GGA-PBE.

Cell lengths 4.3972, 9.7527, 12.8265 Å; angles 90.00, 90.00, 90.00 degrees
Last column: nearest neighbours and their distance in Å.
Space group Immm (No. 71)
Unique sites:
Y 0.0000 0.0000 0.0000 (multiplicity 2)  12 Al 3.27, 4 Ag 3.66
Y 0.0000 0.0000 0.2984 (multiplicity 4)  10 Al 3.11-3.47, 4 Ag 3.24-3.39
Al 0.0000 0.2837 0.1356 (multiplicity 8)  3 Al 2.66-2.75, 3 Ag 2.73-2.81
Al 0.0000 0.3668 0.3402 (multiplicity 8)  4 Al 2.60-2.75, 1 Ag 2.62
Ag 0.0000 0.2002 0.5000 (multiplicity 4)  6 Al 2.62-2.81
Ag 0.0000 0.5000 0.0000 (multiplicity 2)  4 Al 2.73, 4 Ag 2.94

Summary:
ΔE_f: -391 meV per atom
M_tot: 0.000 μB/cell


(3)
Zn2GeRh3: relaxed, GGA-PBE.

Cell lengths 4.2709, 12.8398, 6.0610 Å; angles 90.00, 90.00, 90.00 degrees
Last column: nearest neighbours and their distance in Å.
Space group Cmmm (No. 65)
Unique sites:
Zn 0.0000 0.0000 0.0000 (multiplicity 2)  8 Rh 2.63-2.70
Zn 0.0000 0.0000 0.5000 (multiplicity 2)  8 Rh 2.61-2.63
Zn 0.0000 0.3337 0.0000 (multiplicity 4)  8 Rh 2.62-2.66
Ge 0.0000 0.3399 0.5000 (multiplicity 4)  8 Rh 2.54-2.61
Rh 0.0000 0.1707 0.2612 (multiplicity 8)  3 Ge 2.58-2.61, 5 Zn 2.62-2.70
Rh 0.0000 0.5000 0.2534 (multiplicity 4)  2 Ge 2.54, 6 Zn 2.61-2.63

Summary:
ΔE_f: -516 meV per atom
M_tot: 0.000 μB/cell


(4)
Ho3Er7Tm: relaxed, GGA-PBE.

Cell lengths 12.4055, 11.0313, 5.7125 Å; angles 90.00, 117.36, 90.00 degrees
Last column: nearest neighbours and their distance in Å.
Space group C2/m (No. 12)
Unique sites:
Ho 0.0000 0.0000 0.0000 (multiplicity 2)  4 Er 3.12
Ho 0.0000 0.2084 0.5000 (multiplicity 4)  5 Er 3.22-3.46
Er 0.0000 0.5000 0.5000 (multiplicity 2)  2 Tm 2.86
Er 0.1997 0.2006 0.1995 (multiplicity 8)  2 Ho 3.12-3.46, 3 Er 3.25-3.46
Er 0.2076 0.0000 0.7065 (multiplicity 4)  1 Tm 3.22, 2 Ho 3.24, 2 Er 3.46
Tm 0.0000 0.5000 0.0000 (multiplicity 2)  2 Er 2.86

Summary:
Offset from the most stable computed form: 0.131 eV per atom
ΔE_f: 287 meV per atom
M_tot: 0.828 μB/cell


(5)
ZrBCl2: relaxed, GGA-PBE.

Cell lengths 6.4040, 6.4040, 6.4040 Å; angles 90.00, 90.00, 90.00 degrees
Last column: nearest neighbours and their distance in Å.
Space group Fm-3m (No. 225)
Unique sites:
Zr 0.0000 0.0000 0.0000 (multiplicity 4)  8 Cl 2.77
B 0.0000 0.0000 0.5000 (multiplicity 4)  8 Cl 2.77
Cl 0.2500 0.2500 0.2500 (multiplicity 8)  4 B 2.77, 4 Zr 2.77

Summary:
Offset from the most stable computed form: 0.226 eV per atom
M_tot: 0.000 μB/cell


(6)
Cs2TmPbO4: relaxed, GGA-PBE.

Cell lengths 6.4839, 6.4839, 9.3648 Å; angles 90.00, 90.00, 90.00 degrees
Last column: nearest neighbours and their distance in Å.
Space group I-4 (No. 82)
Unique sites:
Cs 0.0000 0.0000 0.0000 (multiplicity 2)  4 O 3.07
Cs 0.0000 0.5000 0.2500 (multiplicity 2)  4 O 3.13
Tm 0.0000 0.5000 0.7500 (multiplicity 2)  4 O 2.12
Pb 0.0000 0.0000 0.5000 (multiplicity 2)  4 O 2.25
O 0.1351 0.7391 0.6279 (multiplicity 8)  1 Tm 2.12, 1 Pb 2.25

Summary:
M_tot: 1.759 μB/cell


(7)
ErLuFeRu: relaxed, GGA-PBE.

Cell lengths 6.6798, 6.6798, 6.6798 Å; angles 90.00, 90.00, 90.00 degrees
Last column: nearest neighbours and their distance in Å.
Space group F-43m (No. 216)
Unique sites:
Er 0.0000 0.0000 0.0000 (multiplicity 4)  4 Ru 2.89, 4 Fe 2.89
Lu 0.0000 0.0000 0.5000 (multiplicity 4)  4 Fe 2.89, 4 Ru 2.89
Fe 0.2500 0.2500 0.7500 (multiplicity 4)  4 Er 2.89, 4 Lu 2.89
Ru 0.2500 0.2500 0.2500 (multiplicity 4)  4 Lu 2.89, 4 Er 2.89

Summary:
ΔE_f: -147 meV per atom
M_tot: 5.483 μB/cell


(8)
Co2Ir2Os: relaxed, GGA-PBE.

Cell lengths 2.6914, 2.6914, 10.6030 Å; angles 90.00, 90.00, 120.00 degrees
Last column: nearest neighbours and their distance in Å.
Space group P-3m1 (No. 164)
Unique sites:
Co 0.3333 0.6667 0.4115 (multiplicity 2)  9 Co 2.44-2.69, 3 Ir 2.64
Ir 0.3333 0.6667 0.7896 (multiplicity 2)  3 Co 2.64, 6 Ir 2.69, 3 Os 2.72
Os 0.0000 0.0000 0.0000 (multiplicity 1)  6 Os 2.69, 6 Ir 2.72

Summary:
Offset from the most stable computed form: 0.001 eV per atom
ΔE_f: 54 meV per atom
M_tot: 3.377 μB/cell


(9)
Li2YGa: relaxed, GGA-PBE.

Cell lengths 3.4522, 4.7756, 11.9723 Å; angles 90.00, 90.00, 90.00 degrees
Last column: nearest neighbours and their distance in Å.
Space group Immm (No. 71)
Unique sites:
Li 0.0000 0.0000 0.2137 (multiplicity 4)  1 Ga 2.56
Y 0.0000 0.0000 0.5000 (multiplicity 2)  4 Ga 2.95
Ga 0.0000 0.0000 0.0000 (multiplicity 2)  2 Li 2.56

Summary:
ΔE_f: -71 meV per atom
M_tot: 0.000 μB/cell


(10)
HfBeCl3: relaxed, GGA-PBE.

Cell lengths 5.0024, 5.0024, 5.0024 Å; angles 90.00, 90.00, 90.00 degrees
Last column: nearest neighbours and their distance in Å.
Space group Pm-3m (No. 221)
Unique sites:
Hf 0.0000 0.0000 0.0000 (multiplicity 1)  6 Cl 2.50
Be 0.5000 0.5000 0.5000 (multiplicity 1)  12 Cl 3.54
Cl 0.0000 0.0000 0.5000 (multiplicity 3)  2 Hf 2.50

Summary:
Offset from the most stable computed form: 0.000 eV per atom
M_tot: 0.000 μB/cell


(11)
MnTe2Pb: relaxed, GGA-PBE.

Cell lengths 6.2559, 6.2559, 6.0924 Å; angles 90.00, 90.00, 90.00 degrees
Last column: nearest neighbours and their distance in Å.
Space group I4/mmm (No. 139)
Unique sites:
Mn 0.0000 0.0000 0.0000 (multiplicity 2)  2 Pb 3.05, 4 Te 3.13
Te 0.0000 0.5000 0.0000 (multiplicity 4)  2 Te 3.05, 2 Pb 3.13, 2 Mn 3.13
Pb 0.0000 0.0000 0.5000 (multiplicity 2)  2 Mn 3.05, 4 Te 3.13

Summary:
M_tot: 9.168 μB/cell


(12)
TbErTi2Fe22: relaxed, GGA-PBE.

Cell lengths 11.9628, 4.7021, 11.9780 Å; angles 90.00, 90.43, 90.00 degrees
Last column: nearest neighbours and their distance in Å.
Space group Cm (No. 8)
Unique sites:
Tb 0.0000 0.0000 0.0000 (multiplicity 2)  19 Fe 2.96-3.26, 1 Ti 3.19
Er 0.0002 0.5000 0.4999 (multiplicity 2)  19 Fe 2.96-3.25, 1 Ti 3.18
Ti 0.3122 0.0000 0.6866 (multiplicity 2)  6 Fe 2.35-2.63
Ti 0.3131 0.5000 0.1881 (multiplicity 2)  4 Fe 2.35-2.63
Fe 0.1042 0.0000 0.6102 (multiplicity 2)  9 Fe 2.43-2.70, 1 Ti 2.65
Fe 0.1064 0.5000 0.1129 (multiplicity 2)  9 Fe 2.43-2.71, 1 Ti 2.63
Fe 0.1130 0.0000 0.3875 (multiplicity 2)  10 Fe 2.41-2.67
Fe 0.1130 0.5000 0.8864 (multiplicity 2)  9 Fe 2.42-2.70
Fe 0.1740 0.0000 0.8253 (multiplicity 2)  1 Ti 2.35, 6 Fe 2.56-2.57
Fe 0.1745 0.5000 0.3264 (multiplicity 2)  1 Ti 2.35, 6 Fe 2.55-2.57
Fe 0.1747 0.5000 0.6798 (multiplicity 2)  9 Fe 2.43-2.63
Fe 0.1757 0.0000 0.1812 (multiplicity 2)  9 Fe 2.43-2.62
Fe 0.2474 0.2495 0.0019 (multiplicity 4)  9 Fe 2.35-2.60
Fe 0.2473 0.2506 0.5017 (multiplicity 4)  9 Fe 2.35-2.59, 1 Ti 2.62
Fe 0.3189 0.5000 0.8242 (multiplicity 2)  9 Fe 2.43-2.62
Fe 0.3200 0.0000 0.3255 (multiplicity 2)  9 Fe 2.43-2.63
Fe 0.3838 0.0000 0.1168 (multiplicity 2)  8 Fe 2.43-2.68, 2 Ti 2.64
Fe 0.3838 0.5000 0.6158 (multiplicity 2)  8 Fe 2.42-2.64, 2 Ti 2.64
Fe 0.3874 0.0000 0.8934 (multiplicity 2)  9 Fe 2.43-2.70, 1 Ti 2.63
Fe 0.3898 0.5000 0.3960 (multiplicity 2)  9 Fe 2.43-2.70, 1 Ti 2.65
Fe 0.4979 0.2503 0.7519 (multiplicity 4)  9 Fe 2.35-2.60, 1 Ti 2.63
Fe 0.4986 0.2492 0.2534 (multiplicity 4)  9 Fe 2.34-2.59

Summary:
ΔE_f: -81 meV per atom
M_tot: 84.587 μB/cell


(13)
AcTeH: relaxed, GGA-PBE.

Cell lengths 4.3918, 4.3918, 4.5742 Å; angles 90.00, 90.00, 120.00 degrees
Last column: nearest neighbours and their distance in Å.
Space group P-6m2 (No. 187)
Unique sites:
Ac 0.0000 0.0000 0.0000 (multiplicity 1)  3 H 2.54
Te 0.6667 0.3333 0.5000 (multiplicity 1)  6 Ac 3.41, 6 H 3.41
H 0.3333 0.6667 0.0000 (multiplicity 1)  3 Ac 2.54

Summary:
Offset from the most stable computed form: 0.000 eV per atom
M_tot: 0.000 μB/cell


(14)
CsYSbI2: relaxed, GGA-PBE.

Cell lengths 6.1648, 6.1648, 6.0152 Å; angles 90.00, 90.00, 90.00 degrees
Last column: nearest neighbours and their distance in Å.
Space group P4/mmm (No. 123)
Unique sites:
Cs 0.0000 0.0000 0.0000 (multiplicity 1)  8 I 4.31, 4 Sb 4.36
Y 0.5000 0.5000 0.5000 (multiplicity 1)  2 Sb 3.01, 4 I 3.08
Sb 0.5000 0.5000 0.0000 (multiplicity 1)  2 Y 3.01
I 0.0000 0.5000 0.5000 (multiplicity 2)  2 Y 3.08

Summary:
Offset from the most stable computed form: 0.000 eV per atom
M_tot: 1.003 μB/cell


(15)
Li2PmPS: relaxed, GGA-PBE.

Cell lengths 4.0590, 4.0590, 6.3656 Å; angles 90.00, 90.00, 90.00 degrees
Last column: nearest neighbours and their distance in Å.
Space group P4mm (No. 99)
Unique sites:
Li 0.0000 0.5000 0.0000 (multiplicity 2)  2 S 2.30
Pm 0.0000 0.0000 0.5894 (multiplicity 1)  1 S 2.67, 4 P 2.98
P 0.5000 0.5000 0.7142 (multiplicity 1)  4 Li 2.73, 4 Pm 2.98
S 0.0000 0.0000 0.1704 (multiplicity 1)  4 Li 2.30

Summary:
M_tot: 0.000 μB/cell


(16)
TlZn2Br: relaxed, GGA-PBE.

Cell lengths 3.8344, 3.8134, 7.5204 Å; angles 90.00, 103.68, 90.00 degrees
Last column: nearest neighbours and their distance in Å.
Space group Pm (No. 6)
Unique sites:
Tl 0.0000 0.0000 0.0000 (multiplicity 1)  4 Zn 3.18-3.37, 4 Br 3.28-3.29
Zn 0.3323 0.0000 0.6511 (multiplicity 1)  4 Zn 2.71
Zn 0.8180 0.5000 0.6203 (multiplicity 1)  1 Br 2.67, 4 Zn 2.71
Br 0.6222 0.5000 0.2553 (multiplicity 1)  1 Zn 2.67

Summary:
Offset from the most stable computed form: 0.000 eV per atom
M_tot: 0.000 μB/cell


(17)
CaSc2Ta: relaxed, GGA-PBE.

Cell lengths 3.1622, 3.1622, 10.1847 Å; angles 90.00, 90.00, 90.00 degrees
Last column: nearest neighbours and their distance in Å.
Space group P4/mmm (No. 123)
Unique sites:
Ca 0.0000 0.0000 0.0000 (multiplicity 1)  4 Ca 3.16
Sc 0.5000 0.5000 0.3000 (multiplicity 2)  4 Ta 3.02, 4 Sc 3.16
Ta 0.0000 0.0000 0.5000 (multiplicity 1)  8 Sc 3.02, 4 Ta 3.16

Summary:
Offset from the most stable computed form: 0.000 eV per atom
ΔE_f: 216 meV per atom
M_tot: 0.000 μB/cell


(18)
SiTcNiRh: relaxed, GGA-PBE.

Cell lengths 2.9828, 4.1059, 8.3905 Å; angles 90.00, 90.00, 90.00 degrees
Last column: nearest neighbours and their distance in Å.
Space group Imm2 (No. 44)
Unique sites:
Si 0.0000 0.0000 0.0000 (multiplicity 2)  2 Ni 2.34, 2 Rh 2.50, 4 Tc 2.54
Tc 0.0000 0.0000 0.5119 (multiplicity 2)  4 Si 2.54, 4 Ni 2.73-2.80, 4 Rh 2.74-2.80
Ni 0.0000 0.5000 0.2850 (multiplicity 2)  2 Si 2.34, 4 Rh 2.57
Rh 0.0000 0.5000 0.7386 (multiplicity 2)  2 Si 2.50, 4 Ni 2.57, 2 Tc 2.74

Summary:
M_tot: 0.000 μB/cell


(19)
RbBiBr2Cl: relaxed, GGA-PBE.

Cell lengths 5.9452, 5.9452, 5.6502 Å; angles 90.00, 90.00, 90.00 degrees
Last column: nearest neighbours and their distance in Å.
Space group P4/mmm (No. 123)
Unique sites:
Rb 0.0000 0.0000 0.0000 (multiplicity 1)  8 Br 4.10, 4 Cl 4.20
Bi 0.5000 0.5000 0.5000 (multiplicity 1)  2 Cl 2.83, 4 Br 2.97
Br 0.0000 0.5000 0.5000 (multiplicity 2)  2 Bi 2.97
Cl 0.5000 0.5000 0.0000 (multiplicity 1)  2 Bi 2.83

Summary:
M_tot: 0.000 μB/cell


(20)
TaTl3Co: relaxed, GGA-PBE.

Cell lengths 5.4495, 5.4495, 5.4495 Å; angles 90.00, 90.00, 90.00 degrees
Last column: nearest neighbours and their distance in Å.
Space group Pm-3m (No. 221)
Unique sites:
Ta 0.0000 0.0000 0.0000 (multiplicity 1)  6 Tl 2.72
Tl 0.0000 0.0000 0.5000 (multiplicity 3)  2 Ta 2.72
Co 0.5000 0.5000 0.5000 (multiplicity 1)  12 Tl 3.85

Summary:
Offset from the most stable computed form: 0.223 eV per atom
ΔE_f: 1395 meV per atom
M_tot: 2.387 μB/cell


(21)
Zn2Hg2Pt: relaxed, GGA-PBE.

Cell lengths 6.6550, 6.6550, 4.3435 Å; angles 90.00, 90.00, 90.00 degrees
Last column: nearest neighbours and their distance in Å.
Space group P4/mbm (No. 127)
Unique sites:
Zn 0.1431 0.3569 0.0000 (multiplicity 4)  2 Pt 2.56, 1 Zn 2.69, 2 Hg 2.81
Hg 0.1673 0.6673 0.5000 (multiplicity 4)  6 Zn 2.81-3.00, 1 Hg 3.15
Pt 0.0000 0.0000 0.0000 (multiplicity 2)  4 Zn 2.56

Summary:
Offset from the most stable computed form: 0.000 eV per atom
ΔE_f: 58 meV per atom
M_tot: 0.000 μB/cell


(22)
Cr4GaCuS8: relaxed, GGA-PBE.

Cell lengths 9.9774, 9.9774, 9.9774 Å; angles 90.00, 90.00, 90.00 degrees
Last column: nearest neighbours and their distance in Å.
Space group F-43m (No. 216)
Unique sites:
Cr 0.1212 0.1212 0.1212 (multiplicity 16)  6 S 2.37-2.44
Ga 0.0000 0.0000 0.5000 (multiplicity 4)  4 S 2.33
Cu 0.2500 0.2500 0.7500 (multiplicity 4)  4 S 2.31
S 0.1164 0.1164 0.8836 (multiplicity 16)  1 Cu 2.31, 3 Cr 2.37
S 0.1346 0.1346 0.3654 (multiplicity 16)  1 Ga 2.33, 3 Cr 2.44

Summary:
M_tot: 47.852 μB/cell


(23)
HoEr8Te2: relaxed, GGA-PBE.

Cell lengths 17.7601, 11.2032, 3.7895 Å; angles 90.00, 95.95, 90.00 degrees
Last column: nearest neighbours and their distance in Å.
Space group C2/m (No. 12)
Unique sites:
Ho 0.0000 0.0000 0.0000 (multiplicity 2)  4 Te 3.07, 4 Er 3.42
Er 0.0702 0.5000 0.2822 (multiplicity 4)  8 Er 3.11-3.38
Er 0.0864 0.2585 0.7835 (multiplicity 8)  1 Te 3.16, 2 Er 3.30-3.33, 1 Ho 3.42
Er 0.2284 0.5000 0.8605 (multiplicity 4)  2 Te 3.03-3.06, 2 Er 3.37-3.38
Te 0.1366 0.0000 0.5667 (multiplicity 4)  4 Er 3.03-3.16, 2 Ho 3.07

Summary:
M_tot: 0.000 μB/cell


| no. | electronic total energy (eV per atom) |
| --- | --- |
| 1 | -9.354 |
| 2 | -4.526 |
| 3 | -5.386 |
| 4 | -4.271 |
| 5 | -4.417 |
| 6 | -5.564 |
| 7 | -6.852 |
| 8 | -8.579 |
| 9 | -3.400 |
| 10 | -4.290 |
| 11 | -4.656 |
| 12 | -8.203 |
| 13 | -4.797 |
| 14 | -3.845 |
| 15 | -4.859 |
| 16 | -1.792 |
| 17 | -6.413 |
| 18 | -7.546 |
| 19 | -3.052 |
| 20 | -3.816 |
| 21 | -1.780 |
| 22 | -6.313 |
| 23 | -4.447 |